1.
Computed, not measured: crystalline Ti5NbCo4 at its relaxed geometry at the PBE-GGA level of DFT.

Cell lengths 2.987, 2.987, 15.774 Å; angles 90.00, 90.00, 90.00 degrees
Space group P4/mmm (No. 123)
Unique sites:
Ti: 0.000 0.000 0.000 [1 per cell]
Ti: 0.000 0.000 0.188 [2 per cell]
Ti: 0.000 0.000 0.375 [2 per cell]
Nb: 0.500 0.500 0.500 [1 per cell]
Co: 0.500 0.500 0.095 [2 per cell]
Co: 0.500 0.500 0.282 [2 per cell]

Output
Final energy = -8.10 eV per atom

2.
Computed, not measured: crystalline SnAsPbAu at its relaxed geometry at the PBE-GGA level of DFT.

Cell lengths 4.9541, 4.9541, 32.8268 Å; angles 90.00, 90.00, 120.00 degrees
Space group R-3m (No. 166, hexagonal axes)
Unique sites:
Sn: 0.0000 0.0000 0.2013 [6 per cell]
As: 0.0000 0.0000 0.1140 [6 per cell]
Pb: 0.0000 0.0000 0.3793 [6 per cell]
Au: 0.0000 0.0000 0.2910 [6 per cell]

Output
Final energy = -3.85 eV per atom
Excess energy over the best structure of this formula in the dataset = 0.000 eV/atom

3.
Computed, not measured: crystalline Sm3W5N12 at its relaxed geometry at the PBE-GGA level of DFT.

Cell lengths 12.939, 12.939, 12.939 Å; angles 90.00, 90.00, 90.00 degrees
Space group Ia-3d (No. 230)
Unique sites:
Sm: 0.000 0.250 0.125 [24 per cell]
W: 0.000 0.000 0.000 [16 per cell]
W: 0.000 0.250 0.375 [24 per cell]
N: 0.033 0.049 0.648 [96 per cell]

Output
Final energy = -9.73 eV per atom

4.
Computed, not measured: crystalline ZnSb2Ru2 at its relaxed geometry at the PBE-GGA level of DFT.

Cell lengths 7.175, 7.175, 3.510 Å; angles 90.00, 90.00, 90.00 degrees
Space group P4/mbm (No. 127)
Unique sites:
Zn: 0.000 0.000 0.000 [2 per cell]
Sb: 0.153 0.347 0.500 [4 per cell]
Ru: 0.145 0.645 0.000 [4 per cell]

Output
Final energy = -5.55 eV per atom
Excess energy over the best structure of this formula in the dataset = 0.000 eV/atom

5.
Computed, not measured: crystalline AlHgRh2 at its relaxed geometry at the PBE-GGA level of DFT.

Cell lengths 4.454, 4.454, 3.153 Å; angles 90.00, 90.00, 90.00 degrees
Space group P4/mmm (No. 123)
Unique sites:
Al: 0.000 0.000 0.000 [1 per cell]
Hg: 0.500 0.500 0.000 [1 per cell]
Rh: 0.000 0.500 0.500 [2 per cell]

Output
Final energy = -5.03 eV per atom
Excess energy over the best structure of this formula in the dataset = 0.155 eV/atom

6.
Computed, not measured: crystalline BiTeIO3 at its relaxed geometry at the PBE-GGA level of DFT.

Cell lengths 3.977, 3.977, 30.350 Å; angles 90.00, 90.00, 90.00 degrees
Space group P4/nmm (No. 129, origin choice 2)
Unique sites:
Bi: 0.250 0.250 0.041 [2 per cell]
Bi: 0.250 0.250 0.710 [2 per cell]
Te: 0.250 0.250 0.216 [2 per cell]
Te: 0.250 0.250 0.372 [2 per cell]
I: 0.250 0.250 0.561 [2 per cell]
I: 0.250 0.250 0.896 [2 per cell]
O: 0.250 0.250 0.282 [2 per cell]
O: 0.250 0.750 0.000 [2 per cell]
O: 0.250 0.750 0.231 [4 per cell]
O: 0.250 0.750 0.343 [4 per cell]

Output
Final energy = -4.78 eV per atom
Excess energy over the best structure of this formula in the dataset = 0.122 eV/atom

7.
Computed, not measured: crystalline Er2HgP at its relaxed geometry at the PBE-GGA level of DFT.

Cell lengths 3.8538, 3.8538, 23.1516 Å; angles 90.00, 90.00, 120.00 degrees
Space group R3m (No. 160, hexagonal axes)
Unique sites:
Er: 0.0000 0.0000 0.0000 [3 per cell]
Er: 0.0000 0.0000 0.1955 [3 per cell]
Hg: 0.0000 0.0000 0.4304 [3 per cell]
P: 0.0000 0.0000 0.5987 [3 per cell]

Output
Final energy = -4.65 eV per atom
Excess energy over the best structure of this formula in the dataset = 0.046 eV/atom

8.
Computed, not measured: crystalline Ba3HfGe at its relaxed geometry at the PBE-GGA level of DFT.

Cell lengths 6.335, 6.335, 6.335 Å; angles 90.00, 90.00, 90.00 degrees
Space group Pm-3m (No. 221)
Unique sites:
Ba: 0.000 0.000 0.500 [3 per cell]
Hf: 0.500 0.500 0.500 [1 per cell]
Ge: 0.000 0.000 0.000 [1 per cell]

Output
Final energy = -3.44 eV per atom
Excess energy over the best structure of this formula in the dataset = 0.000 eV/atom

9.
Computed, not measured: crystalline La3GeRh at its relaxed geometry at the PBE-GGA level of DFT.

Cell lengths 12.241, 4.307, 11.012 Å; angles 90.00, 90.00, 90.00 degrees
Space group Pnma (No. 62)
Unique sites:
La: 0.045 0.250 0.146 [4 per cell]
La: 0.116 0.750 0.543 [4 per cell]
La: 0.220 0.250 0.797 [4 per cell]
Ge: 0.186 0.750 0.004 [4 per cell]
Rh: 0.004 0.250 0.683 [4 per cell]

Output
Final energy = -6.02 eV per atom
Excess energy over the best structure of this formula in the dataset = 0.000 eV/atom

10.
Computed, not measured: crystalline Rb4SrF6 at its relaxed geometry at the PBE-GGA level of DFT.

Cell lengths 11.1868, 11.1868, 13.7952 Å; angles 90.00, 90.00, 120.00 degrees
Space group R-3c (No. 167, hexagonal axes)
Unique sites:
Rb: 0.0000 0.0000 0.2500 [6 per cell]
Rb: 0.0000 0.3528 0.2500 [18 per cell]
Sr: 0.0000 0.0000 0.0000 [6 per cell]
F: 0.0278 0.1866 0.3965 [36 per cell]

Output
Final energy = -4.50 eV per atom

11.
Computed, not measured: crystalline PmPrSmTm at its relaxed geometry at the PBE-GGA level of DFT.

Cell lengths 3.6349, 3.6349, 11.7255 Å; angles 90.00, 90.00, 120.00 degrees
Space group P3m1 (No. 156)
Unique sites:
Pm: 0.0000 0.0000 0.0000 [1 per cell]
Pr: 0.6667 0.3333 0.5068 [1 per cell]
Sm: 0.3333 0.6667 0.2511 [1 per cell]
Tm: 0.3333 0.6667 0.7554 [1 per cell]

Output
Final energy = -4.66 eV per atom
Excess energy over the best structure of this formula in the dataset = 0.000 eV/atom

12.
Computed, not measured: crystalline Tb3GaSi2 at its relaxed geometry at the PBE-GGA level of DFT.

Cell lengths 7.9863, 7.9863, 16.1519 Å; angles 90.00, 90.00, 120.00 degrees
Space group R-3c (No. 167, hexagonal axes)
Unique sites:
Tb: 0.0000 0.3300 0.2500 [18 per cell]
Ga: 0.0000 0.0000 0.0000 [6 per cell]
Si: 0.0000 0.0000 0.1694 [12 per cell]

Output
Final energy = -5.18 eV per atom
Excess energy over the best structure of this formula in the dataset = 0.136 eV/atom

What is the formula in the sixth record?
BiTeIO3

final energy of number 3 (Sm3W5N12)?
-9.73 eV per atom

Number 10 is which compound?
Rb4SrF6

Which formula does entry 12 have?
Tb3GaSi2